# 1
# ZnFeBr2, single point on PBEsol structure, DFT meta-GGA SCAN
data_ZnFeBr2
_cell_length_a 3.4069
_cell_length_b 3.4069
_cell_length_c 8.6438
_cell_angle_alpha 90.00
_cell_angle_beta 90.00
_cell_angle_gamma 118.42
_space_group_name_H-M_alt 'P 1'
_space_group_IT_number 1
loop_
_space_group_symop_operation_xyz
'x,y,z'
loop_
_atom_site_label
_atom_site_type_symbol
_atom_site_fract_x
_atom_site_fract_y
_atom_site_fract_z
Zn1 Zn 0.0000 0.0000 0.0000
Fe1 Fe 0.5000 0.5000 0.7845
Br1 Br 0.0000 0.0000 0.5904
Br2 Br 0.5000 0.5000 0.1981
# * density: 5.3 g cm⁻³
# * spin magnetization: 3.36 μB/cell
# * symmetry: Cmm2, No. 35
# * crystal system: orthorhombic
# * relative energy among the computed polymorphs: 0 meV per atom

# 2
# AlZnCd4, single point on PBEsol structure, DFT meta-GGA SCAN
data_AlZnCd4
_cell_length_a 5.6329
_cell_length_b 5.6329
_cell_length_c 5.6329
_cell_angle_alpha 60.00
_cell_angle_beta 60.00
_cell_angle_gamma 60.00
_space_group_name_H-M_alt 'P 1'
_space_group_IT_number 1
loop_
_space_group_symop_operation_xyz
'x,y,z'
loop_
_atom_site_label
_atom_site_type_symbol
_atom_site_fract_x
_atom_site_fract_y
_atom_site_fract_z
Al1 Al 0.0000 0.0000 0.0000
Zn1 Zn 0.7500 0.7500 0.7500
Cd1 Cd 0.3751 0.3751 0.3751
Cd2 Cd 0.3751 0.3751 0.8747
Cd3 Cd 0.3751 0.8747 0.3751
Cd4 Cd 0.8747 0.3751 0.3751
# * density: 7.1 g cm⁻³
# * spin magnetization: 0.00 μB/cell
# * symmetry: F-43m, No. 216
# * raw total energy: -23.5058 eV per atom
# * crystal system: cubic

# 3
# Sr2ZnRh, single point on PBEsol structure, DFT meta-GGA SCAN
data_Sr2ZnRh
_cell_length_a 8.0987
_cell_length_b 8.0987
_cell_length_c 8.0987
_cell_angle_alpha 30.87
_cell_angle_beta 30.87
_cell_angle_gamma 30.87
_space_group_name_H-M_alt 'P 1'
_space_group_IT_number 1
loop_
_space_group_symop_operation_xyz
'x,y,z'
loop_
_atom_site_label
_atom_site_type_symbol
_atom_site_fract_x
_atom_site_fract_y
_atom_site_fract_z
Sr1 Sr 0.0000 0.0000 0.0000
Sr2 Sr 0.1700 0.1700 0.1700
Zn1 Zn 0.7517 0.7517 0.7517
Rh1 Rh 0.4180 0.4180 0.4180
# * density: 4.6 g cm⁻³
# * spin magnetization: 0.06 μB/cell
# * symmetry: R3m, No. 160
# * raw total energy: -23.3581 eV per atom
# * crystal system: trigonal

# 4
# AgRhN2, single point on PBEsol structure, DFT meta-GGA SCAN
data_AgRhN2
_cell_length_a 5.7035
_cell_length_b 5.7035
_cell_length_c 5.7035
_cell_angle_alpha 130.26
_cell_angle_beta 130.26
_cell_angle_gamma 72.99
_space_group_name_H-M_alt 'P 1'
_space_group_IT_number 1
loop_
_space_group_symop_operation_xyz
'x,y,z'
loop_
_atom_site_label
_atom_site_type_symbol
_atom_site_fract_x
_atom_site_fract_y
_atom_site_fract_z
Ag1 Ag 0.0000 0.0000 0.0000
Ag2 Ag 0.7500 0.2500 0.5000
Rh1 Rh 0.2500 0.7500 0.5000
Rh2 Rh 0.5000 0.5000 0.0000
N1 N 0.1818 0.6250 0.0568
N2 N 0.3750 0.4318 0.5568
N3 N 0.5682 0.1250 0.9432
N4 N 0.8750 0.8182 0.4432
# * density: 7.5 g cm⁻³
# * spin magnetization: 0.00 μB/cell
# * symmetry: I-42d, No. 122
# * crystal system: tetragonal
# * relative energy among the computed polymorphs: 0 meV per atom

# 5
# TaTl2Se, single point on PBEsol structure, DFT meta-GGA SCAN
data_TaTl2Se
_cell_length_a 7.8853
_cell_length_b 7.8853
_cell_length_c 7.8853
_cell_angle_alpha 157.04
_cell_angle_beta 149.50
_cell_angle_gamma 38.52
_space_group_name_H-M_alt 'P 1'
_space_group_IT_number 1
loop_
_space_group_symop_operation_xyz
'x,y,z'
loop_
_atom_site_label
_atom_site_type_symbol
_atom_site_fract_x
_atom_site_fract_y
_atom_site_fract_z
Ta1 Ta 0.0000 0.0000 0.0000
Tl1 Tl 0.1814 0.6814 0.5000
Tl2 Tl 0.8186 0.3186 0.5000
Se1 Se 0.5000 0.5000 0.0000
# * density: 11.5 g cm⁻³
# * spin magnetization: 0.00 μB/cell
# * symmetry: Immm, No. 71
# * crystal system: orthorhombic
# * relative energy among the computed polymorphs: 0 meV per atom

# 6
# Sr2MnGaO5, single point on PBEsol structure, DFT meta-GGA SCAN
data_Sr2MnGaO5
_cell_length_a 8.8917
_cell_length_b 8.8677
_cell_length_c 5.4630
_cell_angle_alpha 72.32
_cell_angle_beta 71.84
_cell_angle_gamma 35.83
_space_group_name_H-M_alt 'P 1'
_space_group_IT_number 1
loop_
_space_group_symop_operation_xyz
'x,y,z'
loop_
_atom_site_label
_atom_site_type_symbol
_atom_site_fract_x
_atom_site_fract_y
_atom_site_fract_z
Sr1 Sr 0.0954 0.6226 0.3774
Sr2 Sr 0.3774 0.9046 0.0954
Sr3 Sr 0.6226 0.0954 0.9046
Sr4 Sr 0.9046 0.3774 0.6226
Mn1 Mn 0.0000 0.5000 0.0000
Mn2 Mn 0.5000 0.0000 0.5000
Ga1 Ga 0.3181 0.6819 0.6819
Ga2 Ga 0.6819 0.3181 0.3181
O1 O 0.1196 0.6669 0.8804
O2 O 0.2500 0.2500 0.2500
O3 O 0.2566 0.2566 0.7434
O4 O 0.3296 0.6704 0.3296
O5 O 0.3331 0.8804 0.6669
O6 O 0.6669 0.1196 0.3331
O7 O 0.6704 0.3296 0.6704
O8 O 0.7434 0.7434 0.2566
O9 O 0.7500 0.7500 0.7500
O10 O 0.8804 0.3331 0.1196
# * density: 5.3 g cm⁻³
# * spin magnetization: 8.00 μB/cell
# * symmetry: Fmmm, No. 69
# * crystal system: orthorhombic
# * relative energy among the computed polymorphs: 23 meV per atom

# 7
# ScMn2Te, single point on PBEsol structure, DFT meta-GGA SCAN
data_ScMn2Te
_cell_length_a 4.0842
_cell_length_b 4.0842
_cell_length_c 3.9345
_cell_angle_alpha 90.00
_cell_angle_beta 90.00
_cell_angle_gamma 90.00
_space_group_name_H-M_alt 'P 1'
_space_group_IT_number 1
loop_
_space_group_symop_operation_xyz
'x,y,z'
loop_
_atom_site_label
_atom_site_type_symbol
_atom_site_fract_x
_atom_site_fract_y
_atom_site_fract_z
Sc1 Sc 0.0000 0.0000 0.0000
Mn1 Mn 0.0000 0.5000 0.5000
Mn2 Mn 0.5000 0.0000 0.5000
Te1 Te 0.5000 0.5000 0.0000
# * density: 7.1 g cm⁻³
# * spin magnetization: 6.06 μB/cell
# * symmetry: P4/mmm, No. 123
# * raw total energy: -22.2752 eV per atom
# * crystal system: tetragonal

# 8
# Y3Co2, single point on PBEsol structure, DFT meta-GGA SCAN
data_Y3Co2
_cell_length_a 4.5817
_cell_length_b 4.5817
_cell_length_c 5.7565
_cell_angle_alpha 90.00
_cell_angle_beta 90.00
_cell_angle_gamma 120.00
_space_group_name_H-M_alt 'P 1'
_space_group_IT_number 1
loop_
_space_group_symop_operation_xyz
'x,y,z'
loop_
_atom_site_label
_atom_site_type_symbol
_atom_site_fract_x
_atom_site_fract_y
_atom_site_fract_z
Y1 Y 0.0000 0.0000 0.0000
Y2 Y 0.3333 0.6667 0.3330
Y3 Y 0.6667 0.3333 0.6670
Co1 Co 0.3333 0.6667 0.8449
Co2 Co 0.6667 0.3333 0.1551
# * density: 6.1 g cm⁻³
# * spin magnetization: 0.04 μB/cell
# * symmetry: P-3m1, No. 164
# * crystal system: trigonal
# * relative energy among the computed polymorphs: 66 meV per atom

# 9
# PbAu2Br, single point on PBEsol structure, DFT meta-GGA SCAN
data_PbAu2Br
_cell_length_a 3.8783
_cell_length_b 4.3130
_cell_length_c 5.4108
_cell_angle_alpha 90.00
_cell_angle_beta 90.00
_cell_angle_gamma 90.00
_space_group_name_H-M_alt 'P 1'
_space_group_IT_number 1
loop_
_space_group_symop_operation_xyz
'x,y,z'
loop_
_atom_site_label
_atom_site_type_symbol
_atom_site_fract_x
_atom_site_fract_y
_atom_site_fract_z
Pb1 Pb 0.0000 0.0000 0.0000
Au1 Au 0.0000 0.5000 0.5000
Au2 Au 0.5000 0.0000 0.5000
Br1 Br 0.5000 0.5000 0.0000
# * density: 12.5 g cm⁻³
# * spin magnetization: 0.00 μB/cell
# * symmetry: Pmmm, No. 47
# * crystal system: orthorhombic
# * relative energy among the computed polymorphs: 93 meV per atom

# 10
# ZnInHg, single point on PBEsol structure, DFT meta-GGA SCAN
data_ZnInHg
_cell_length_a 6.5401
_cell_length_b 6.5401
_cell_length_c 6.5401
_cell_angle_alpha 151.78
_cell_angle_beta 151.78
_cell_angle_gamma 40.34
_space_group_name_H-M_alt 'P 1'
_space_group_IT_number 1
loop_
_space_group_symop_operation_xyz
'x,y,z'
loop_
_atom_site_label
_atom_site_type_symbol
_atom_site_fract_x
_atom_site_fract_y
_atom_site_fract_z
Zn1 Zn 0.0000 0.0000 0.0000
In1 In 0.3381 0.3381 0.0000
Hg1 Hg 0.6468 0.6468 0.0000
# * density: 10.1 g cm⁻³
# * spin magnetization: 0.00 μB/cell
# * symmetry: I4mm, No. 107
# * crystal system: tetragonal
# * relative energy among the computed polymorphs: 95 meV per atom

# 11
# BeAuNO2, single point on PBEsol structure, DFT meta-GGA SCAN
data_BeAuNO2
_cell_length_a 3.0931
_cell_length_b 3.0931
_cell_length_c 5.9661
_cell_angle_alpha 90.00
_cell_angle_beta 90.00
_cell_angle_gamma 90.00
_space_group_name_H-M_alt 'P 1'
_space_group_IT_number 1
loop_
_space_group_symop_operation_xyz
'x,y,z'
loop_
_atom_site_label
_atom_site_type_symbol
_atom_site_fract_x
_atom_site_fract_y
_atom_site_fract_z
Be1 Be 0.0000 0.0000 0.0000
Au1 Au 0.5000 0.5000 0.5000
N1 N 0.0000 0.0000 0.5000
O1 O 0.0000 0.5000 0.0000
O2 O 0.5000 0.0000 0.0000
# * density: 7.3 g cm⁻³
# * spin magnetization: 1.41 μB/cell
# * symmetry: P4/mmm, No. 123
# * raw total energy: -18.9130 eV per atom
# * crystal system: tetragonal

# 12
# CrOs2Au, single point on PBEsol structure, DFT meta-GGA SCAN
data_CrOs2Au
_cell_length_a 4.7108
_cell_length_b 4.7108
_cell_length_c 4.7108
_cell_angle_alpha 132.31
_cell_angle_beta 132.31
_cell_angle_gamma 69.75
_space_group_name_H-M_alt 'P 1'
_space_group_IT_number 1
loop_
_space_group_symop_operation_xyz
'x,y,z'
loop_
_atom_site_label
_atom_site_type_symbol
_atom_site_fract_x
_atom_site_fract_y
_atom_site_fract_z
Cr1 Cr 0.0000 0.0000 0.0000
Os1 Os 0.5000 0.5000 0.0000
Os2 Os 0.7500 0.2500 0.5000
Au1 Au 0.2500 0.7500 0.5000
# * density: 18.6 g cm⁻³
# * spin magnetization: 1.85 μB/cell
# * symmetry: I-4m2, No. 119
# * crystal system: tetragonal
# * relative energy among the computed polymorphs: 0 meV per atom

- Number 8 is which compound?
  Y3Co2